# 1
Ge2BiAu2 PBE relaxed; SG = I4/mmm, No. 139; E above lowest polymorph = 0 meV/atom; DOS(E_F) = 1.61 states/eV per cell; formation energy = 0.054 eV per atom
1.0
-1.3805 0.8543 3.8819
3.1320 -2.2964 1.6192
4.4751 4.3101 2.9234
Ge Au Bi
2 2 1
Direct
0.7500 0.2500 0.5000
0.2500 0.7500 0.5000
0.3888 0.3888 0.2225
0.6112 0.6112 0.7775
0.0000 0.0000 0.0000

---

# 2
GeBi2Au3 PBE relaxed; SG = P1, No. 1; DOS(E_F) = 3.12 states/eV per cell; formation energy = 0.002 eV per atom
1.0
-0.7799 -3.9634 -0.3519
4.2715 -0.8305 -0.0882
-1.6715 1.6645 8.0718
Ge Bi Au
1 2 3
Direct
0.4362 0.1431 0.8745
0.1128 0.2408 0.2317
0.7538 0.8849 0.5159
0.9356 0.7531 0.8740
0.3054 0.4195 0.6177
0.5616 0.6727 0.1300

---

# 3
Ge2Bi3Au4 PBE relaxed; SG = P-1, No. 2; DOS(E_F) = 3.25 states/eV per cell; formation energy = -0.003 eV per atom
1.0
-3.2647 0.4906 2.4865
-1.6138 -4.3519 -4.6623
4.4593 -3.8917 6.5304
Ge Bi Au
2 3 4
Direct
0.6959 0.4012 0.3678
0.3041 0.5988 0.6322
0.6167 0.2202 0.7174
0.0000 0.0000 0.0000
0.3833 0.7798 0.2826
0.6924 0.3846 0.0692
0.3076 0.6154 0.9308
0.9299 0.8511 0.6085
0.0701 0.1489 0.3915